Material: PmAlHgGe
Method: DFT, PBE
State: relaxed

Summary:
- Crystal system: cubic
- DFT total energy: -0.1313 Ha/atom
- ΔH_f (0 K): -0.2192 eV per atom
- Total magnetic moment: 0.0 μB/f.u.
- Mass density: 8.131 g cm⁻³

Lattice parameters (Å, degrees): 5.0472 5.0472 5.0472 60.00 60.00 60.00
Positions (direct):
Al1 0.5000 0.5000 0.5000
Hg1 0.7500 0.7500 0.7500
Pm1 0.0000 0.0000 0.0000
Ge1 0.2500 0.2500 0.2500